1.
A plane-wave DFT calculation with GGA-PBE was carried out for a geometry-optimized Li2TaSn structure.

Cell: 7.3381 7.3381 5.8810 Å, 51.40 51.40 90.00°
Fractional positions:
Sn (0.2500, 0.7500, 0.5000)
Sn (0.5000, 0.5000, 0.0000)
Li (0.8750, 0.8610, 0.7500)
Li (0.3750, 0.3890, 0.7500)
Li (0.6110, 0.1250, 0.2500)
Li (0.1390, 0.6250, 0.2500)
Ta (0.0000, 0.0000, 0.0000)
Ta (0.7500, 0.2500, 0.5000)

Values from the calculation:
E   -4.362 eV/atom
DOS at the Fermi energy   5.60 states/eV/cell
Formation energy   0.558 eV per atom
Space-group type   I-42d, No. 122
Calculated volume   149.06 Å³/cell

---

2.
A plane-wave DFT calculation with GGA-PBE was carried out for a geometry-optimized TaP2SeCl structure.

Cell: 4.9145 4.9145 4.6599 Å, 90.00 90.00 90.00°
Fractional positions:
Se (0.5000, 0.5000, 0.5000)
P (0.5000, 0.0000, 0.0000)
P (0.0000, 0.5000, 0.0000)
Ta (0.0000, 0.0000, 0.0000)
Cl (0.0000, 0.0000, 0.5000)

Values from the calculation:
E   -5.309 eV/atom
DOS at the Fermi energy   3.56 states/eV/cell
E above lowest polymorph   0.0 meV/atom
Space-group type   P4/mmm, No. 123
Calculated volume   112.55 Å³/cell
ΔE_f (raw)   1.457 eV/f.u.

---

3.
A plane-wave DFT calculation with GGA-PBE was carried out for a geometry-optimized SiMoAu2 structure.

Cell: 2.8206 4.2477 5.5489 Å, 90.00 90.00 90.00°
Fractional positions:
Si (0.5000, 0.5000, 0.7500)
Mo (0.5000, 0.5000, 0.2500)
Au (0.0000, 0.0000, 0.0025)
Au (0.0000, 0.0000, 0.4975)

Values from the calculation:
E   -5.371 eV/atom
DOS at the Fermi energy   3.34 states/eV/cell
Space-group type   Pmmm, No. 47
Calculated volume   66.48 Å³/cell
ΔE_f (raw)   1.323 eV/f.u.

---

4.
A plane-wave DFT calculation with GGA-PBE was carried out for a geometry-optimized Cd2ReAs structure.

Cell: 5.3413 2.8961 5.6426 Å, 61.31 90.00 90.00°
Fractional positions:
Cd (0.0000, 0.7490, 0.0035)
Cd (0.0000, 0.7510, 0.4965)
As (0.5000, 0.7500, 0.7500)
Re (0.5000, 0.2500, 0.2500)

Values from the calculation:
E   -4.160 eV/atom
DOS at the Fermi energy   1.83 states/eV/cell
Formation energy   0.572 eV per atom
Space-group type   P2/m, No. 10
Calculated volume   76.57 Å³/cell

---

5.
A plane-wave DFT calculation with GGA-PBE was carried out for a geometry-optimized Tl2CdCu structure.

Cell: 4.8557 4.8557 6.3947 Å, 78.16 78.16 41.09°
Fractional positions:
Tl (0.4867, 0.4867, 0.5284)
Tl (0.0133, 0.0133, 0.9716)
Cd (0.2500, 0.2500, 0.2500)
Cu (0.7500, 0.7500, 0.7500)

Values from the calculation:
E   -2.205 eV/atom
DOS at the Fermi energy   0.77 states/eV/cell
Formation energy   0.231 eV per atom
E above lowest polymorph   92.7 meV/atom
Space-group type   C2/m, No. 12
Calculated volume   96.68 Å³/cell

---

6.
A plane-wave DFT calculation with GGA-PBE was carried out for a geometry-optimized Y3HfTl structure.

Cell: 5.6525 5.6525 5.6525 Å, 90.00 90.00 90.00°
Fractional positions:
Tl (0.0000, 0.0000, 0.0000)
Y (0.5000, 0.0000, 0.0000)
Y (0.0000, 0.5000, 0.0000)
Y (0.0000, 0.0000, 0.5000)
Hf (0.5000, 0.5000, 0.5000)

Values from the calculation:
E   -5.554 eV/atom
DOS at the Fermi energy   11.66 states/eV/cell
Formation energy   0.788 eV per atom
E above lowest polymorph   158.2 meV/atom
Space-group type   Pm-3m, No. 221
Calculated volume   180.60 Å³/cell

---

7.
A plane-wave DFT calculation with GGA-PBE was carried out for a geometry-optimized La2AgRh structure.

Cell: 4.1998 4.1998 7.9419 Å, 74.68 74.68 59.92°
Fractional positions:
La (0.0139, 0.0139, 0.9599)
La (0.4861, 0.4861, 0.5401)
Ag (0.2500, 0.2500, 0.2500)
Rh (0.7500, 0.7500, 0.7500)

Values from the calculation:
E   -5.509 eV/atom
DOS at the Fermi energy   1.79 states/eV/cell
Formation energy   -0.495 eV per atom
Space-group type   R-3m, No. 166
Calculated volume   115.45 Å³/cell

---

8.
A plane-wave DFT calculation with GGA-PBE was carried out for a geometry-optimized BTePS2 structure.

Cell: 5.0831 5.0831 5.1023 Å, 90.00 90.00 90.00°
Fractional positions:
P (0.0000, 0.0000, 0.5000)
B (0.5000, 0.5000, 0.5000)
S (0.5000, 0.0000, 0.0000)
S (0.0000, 0.5000, 0.0000)
Te (0.0000, 0.0000, 0.0000)

Values from the calculation:
E   -2.969 eV/atom
DOS at the Fermi energy   3.64 states/eV/cell
E above lowest polymorph   1028.5 meV/atom
Space-group type   P4/mmm, No. 123
Calculated volume   131.83 Å³/cell
ΔE_f (raw)   8.640 eV/f.u.